Material: PmYErMg
Method: DFT, PBE
State: relaxed

Properties
Crystal system ... cubic
E_form ... 0.03 eV/atom

Unit cell a=5.537 b=5.537 c=5.537 alpha=60.00 beta=60.00 gamma=60.00
Element x y z (fractional)
Y1 0.750 0.750 0.750
Er1 0.500 0.500 0.500
Pm1 0.250 0.250 0.250
Mg1 0.000 0.000 0.000



Material: AsH3Os
Method: DFT, PBE
State: relaxed

Properties
Crystal system ... cubic
Calculated total energy ... -3.71 eV/atom

Unit cell a=3.559 b=3.559 c=3.559 alpha=90.00 beta=90.00 gamma=90.00
Element x y z (fractional)
H1 0.000 0.000 0.500
H2 0.500 0.000 0.000
H3 0.000 0.500 0.000
As1 0.000 0.000 0.000
Os1 0.500 0.500 0.500



Material: WSe2Cl
Method: DFT, PBE
State: relaxed

Properties
Crystal system ... monoclinic
Energy relative to the elements, uncorrected ... -0.1846 eV/atom

Unit cell a=3.373 b=3.373 c=8.259 alpha=78.31 beta=78.31 gamma=59.96
Element x y z (fractional)
Cl1 0.250 0.250 0.250
W1 0.750 0.750 0.750
Se1 0.014 0.014 0.961
Se2 0.486 0.486 0.539



Material: ZrTlMo2
Method: DFT, PBE
State: relaxed

Properties
Crystal system ... trigonal
E_form ... 0.65 eV/atom

Unit cell a=10.186 b=10.186 c=10.186 alpha=16.87 beta=16.87 gamma=16.87
Element x y z (fractional)
Zr1 0.750 0.750 0.750
Mo1 0.501 0.501 0.501
Mo2 0.999 0.999 0.999
Tl1 0.250 0.250 0.250



Material: LiPr2Cd
Method: DFT, PBE
State: relaxed

Properties
Crystal system ... tetragonal
E_form ... -0.13 eV/atom

Unit cell a=3.972 b=5.391 c=5.391 alpha=90.00 beta=90.00 gamma=90.00
Element x y z (fractional)
Cd1 0.500 0.500 0.500
Li1 0.500 0.000 0.000
Pr1 0.000 0.000 0.500
Pr2 0.000 0.500 0.000



Material: Ac2Mg4Tl3Ag
Method: DFT, PBE
State: relaxed

Properties
Crystal system ... tetragonal
E_form ... -0.24 eV/atom

Unit cell a=4.834 b=4.834 c=11.822 alpha=90.00 beta=90.00 gamma=90.00
Element x y z (fractional)
Mg1 0.500 0.000 0.622
Mg2 0.500 0.500 0.000
Mg3 0.000 0.500 0.378
Mg4 0.000 0.000 0.000
Tl1 0.000 0.000 0.500
Tl2 0.000 0.500 0.142
Tl3 0.500 0.000 0.858
Ag1 0.500 0.500 0.500
Ac1 0.500 0.000 0.255
Ac2 0.000 0.500 0.745



Material: Sm2Y4Sc
Method: DFT, PBE
State: relaxed

Properties
Crystal system ... orthorhombic
E_form ... 0.22 eV/atom

Unit cell a=3.784 b=12.501 c=19.173 alpha=90.00 beta=90.00 gamma=90.00
Element x y z (fractional)
Y1 0.500 0.896 0.177
Y2 0.000 0.396 0.177
Y3 0.500 0.233 0.565
Y4 0.500 0.733 0.935
Y5 0.000 0.896 0.323
Y6 0.000 0.233 0.935
Y7 0.500 0.104 0.823
Y8 0.000 0.267 0.435
Y9 0.000 0.767 0.065
Y10 0.500 0.604 0.677
Y11 0.500 0.767 0.435
Y12 0.500 0.267 0.065
Y13 0.500 0.396 0.323
Y14 0.000 0.104 0.677
Y15 0.000 0.733 0.565
Y16 0.000 0.604 0.823
Sc1 0.500 0.500 0.500
Sc2 0.000 0.000 0.500
Sc3 0.000 0.500 0.000
Sc4 0.500 0.000 0.000
Sm1 0.500 0.389 0.832
Sm2 0.500 0.111 0.332
Sm3 0.000 0.611 0.332
Sm4 0.500 0.611 0.168
Sm5 0.000 0.389 0.668
Sm6 0.000 0.111 0.168
Sm7 0.500 0.889 0.668
Sm8 0.000 0.889 0.832



Material: Ac2Be3CuGe4
Method: DFT, PBE
State: relaxed

Properties
Crystal system ... tetragonal
E_form ... -0.37 eV/atom

Unit cell a=4.327 b=4.327 c=9.851 alpha=90.00 beta=90.00 gamma=90.00
Element x y z (fractional)
Cu1 0.500 0.500 0.500
Ge1 0.000 0.500 0.368
Ge2 0.500 0.000 0.632
Ge3 0.000 0.000 0.000
Ge4 0.500 0.500 0.000
Ac1 0.500 0.000 0.252
Ac2 0.000 0.500 0.748
Be1 0.500 0.000 0.878
Be2 0.000 0.000 0.500
Be3 0.000 0.500 0.122